VASP calculation (PBE-GGA) on a geometry-optimized Ti2FeSiMo structure.

## Properties
* final energy: -7.02 eV/atom
* raw formation energy: 1.0807 eV per atom

a b c (Å): 4.6924 4.3331 4.6924
angles (deg): 90.00 90.00 90.00
With the nearest neighbours (Å) after each atom.
Atoms (fractional coordinates):
Ti  0.5000  0.0000  0.0000  2 Mo 2.35
Ti  0.0000  0.0000  0.5000  2 Mo 2.35
Mo  0.0000  0.0000  0.0000  2 Fe 2.17, 4 Ti 2.35
Si  0.5000  0.5000  0.5000  8 Ti 3.19, 4 Fe 3.32
Fe  0.0000  0.5000  0.0000  2 Mo 2.17